Record 1
The following is a DFT calculation (PBE) of crystalline MoRu at its relaxed geometry.

ΔH_f (0 K) ... 267 kJ/mol of formula units
Total energy ... -8.67 eV/atom
Theoretical density ... 7.440 g cm⁻³
N(E_F) ... 1.044 states/eV per atom
Crystal system ... cubic

Cell and atoms, written as CIF:
```
data_MoRu
_cell_length_a 5.603
_cell_length_b 5.603
_cell_length_c 5.603
_cell_angle_alpha 90.00
_cell_angle_beta 90.00
_cell_angle_gamma 90.00
_symmetry_space_group_name_H-M 'F -4 3 m'
_symmetry_Int_Tables_number 216
_symmetry_space_group_name_Hall 'F -4 2 3'
loop_
_atom_site_label
_atom_site_fract_x
_atom_site_fract_y
_atom_site_fract_z
Mo1 0.000 0.000 0.000
Ru1 0.250 0.250 0.750
```

***

Record 2
The following is a DFT calculation (PBE) of crystalline Mg2H4Rh at its relaxed geometry.

Offset from the most stable computed form ... 0.166 eV per atom
Total energy ... -3.58 eV/atom
Theoretical density ... 3.779 g cm⁻³
N(E_F) ... 0.069 states/eV per atom
Crystal system ... tetragonal

Cell and atoms, written as CIF:
```
data_Mg2H4Rh
_cell_length_a 3.517
_cell_length_b 3.517
_cell_length_c 11.052
_cell_angle_alpha 90.00
_cell_angle_beta 90.00
_cell_angle_gamma 90.00
_symmetry_space_group_name_H-M 'I 4/m m m'
_symmetry_Int_Tables_number 139
_symmetry_space_group_name_Hall '-I 4 2'
loop_
_atom_site_label
_atom_site_fract_x
_atom_site_fract_y
_atom_site_fract_z
Mg1 0.000 0.000 0.141
H1 0.000 0.000 0.337
H2 0.000 0.500 0.000
Rh1 0.000 0.000 0.500
```

***

Record 3
The following is a DFT calculation (PBE) of crystalline DyCo5P3 at its relaxed geometry.

Offset from the most stable computed form ... 0.068 eV per atom
ΔH_f (0 K) ... -673 kJ/mol of formula units
Total energy ... -7.04 eV/atom
Theoretical density ... 7.962 g cm⁻³
N(E_F) ... 0.808 states/eV per atom
Crystal system ... orthorhombic

Cell and atoms, written as CIF:
```
data_DyCo5P3
_cell_length_a 3.582
_cell_length_b 11.339
_cell_length_c 11.297
_cell_angle_alpha 90.00
_cell_angle_beta 90.00
_cell_angle_gamma 90.00
_symmetry_space_group_name_H-M 'C m c m'
_symmetry_Int_Tables_number 63
_symmetry_space_group_name_Hall '-C 2c 2'
loop_
_atom_site_label
_atom_site_fract_x
_atom_site_fract_y
_atom_site_fract_z
Dy1 0.000 0.157 0.250
Co1 0.000 0.000 0.000
Co2 0.000 0.199 0.571
Co3 0.000 0.446 0.143
P1 0.000 0.111 0.750
P2 0.000 0.383 0.541
```

***

Record 4
The following is a DFT calculation (PBE) of crystalline CsTcBF2 at its relaxed geometry.

E_form (uncorrected) ... 101 kJ/mol of atoms
Total energy ... -3.28 eV/atom
Theoretical density ... 4.076 g cm⁻³
N(E_F) ... 0.793 states/eV per atom
Crystal system ... tetragonal

Cell and atoms, written as CIF:
```
data_CsTcBF2
_cell_length_a 4.634
_cell_length_b 4.634
_cell_length_c 5.307
_cell_angle_alpha 90.00
_cell_angle_beta 90.00
_cell_angle_gamma 90.00
_symmetry_space_group_name_H-M 'P 4/m m m'
_symmetry_Int_Tables_number 123
_symmetry_space_group_name_Hall '-P 4 2'
loop_
_atom_site_label
_atom_site_fract_x
_atom_site_fract_y
_atom_site_fract_z
Cs1 0.000 0.000 0.000
Tc1 0.500 0.500 0.500
B1 0.000 0.000 0.500
F1 0.000 0.500 0.000
```